VASP calculation (PBE-GGA) on a geometry-optimized LiMgCoCu structure.

Structure (CIF):
```
data_LiMgCoCu
_chemical_formula_sum 'Li4 Mg4 Co4 Cu4'
_symmetry_space_group_name_H-M 'F -4 3 m'
_symmetry_Int_Tables_number 216
_symmetry_space_group_name_Hall 'F -4 2 3'
_cell_length_a 5.9573
_cell_length_b 5.9573
_cell_length_c 5.9573
_cell_angle_alpha 90.00
_cell_angle_beta 90.00
_cell_angle_gamma 90.00
loop_
_atom_site_label
_atom_site_type_symbol
_atom_site_fract_x
_atom_site_fract_y
_atom_site_fract_z
Li1 Li 0.0000 0.0000 0.0000
Mg1 Mg 0.2500 0.2500 0.7500
Co1 Co 0.0000 0.0000 0.5000
Cu1 Cu 0.2500 0.2500 0.2500
```

Properties
ΔH_f (0 K) (eV per atom): 0.13
Volume (Å³/atom): 13.214

***

VASP calculation (PBE-GGA) on a geometry-optimized LiMnCoCu structure.

Structure (CIF):
```
data_LiMnCoCu
_chemical_formula_sum 'Li4 Mn4 Co4 Cu4'
_symmetry_space_group_name_H-M 'F -4 3 m'
_symmetry_Int_Tables_number 216
_symmetry_space_group_name_Hall 'F -4 2 3'
_cell_length_a 5.7449
_cell_length_b 5.7449
_cell_length_c 5.7449
_cell_angle_alpha 90.00
_cell_angle_beta 90.00
_cell_angle_gamma 90.00
loop_
_atom_site_label
_atom_site_type_symbol
_atom_site_fract_x
_atom_site_fract_y
_atom_site_fract_z
Li1 Li 0.0000 0.0000 0.0000
Mn1 Mn 0.0000 0.0000 0.5000
Co1 Co 0.2500 0.2500 0.2500
Cu1 Cu 0.2500 0.2500 0.7500
```

Properties
ΔH_f (0 K) (eV per atom): 0.17
Volume (Å³/atom): 11.850

***

VASP calculation (PBE-GGA) on a geometry-optimized Li2CoCuMo structure.

Structure (CIF):
```
data_Li2CoCuMo
_chemical_formula_sum 'Li2 Co1 Cu1 Mo1'
_symmetry_space_group_name_H-M 'P 4/m m m'
_symmetry_Int_Tables_number 123
_symmetry_space_group_name_Hall '-P 4 2'
_cell_length_a 4.6816
_cell_length_b 4.6816
_cell_length_c 4.7064
_cell_angle_alpha 90.00
_cell_angle_beta 90.00
_cell_angle_gamma 90.00
loop_
_atom_site_label
_atom_site_type_symbol
_atom_site_fract_x
_atom_site_fract_y
_atom_site_fract_z
Li1 Li 0.0000 0.5000 0.0000
Co1 Co 0.0000 0.0000 0.5000
Cu1 Cu 0.5000 0.5000 0.5000
Mo1 Mo 0.5000 0.5000 0.0000
```

Properties
ΔH_f (0 K) (eV per atom): 1.76
Volume (Å³/atom): 20.630

***

VASP calculation (PBE-GGA) on a geometry-optimized Li2CoCuN structure.

Structure (CIF):
```
data_Li2CoCuN
_chemical_formula_sum 'Li2 Co1 Cu1 N1'
_symmetry_space_group_name_H-M 'P 4/m m m'
_symmetry_Int_Tables_number 123
_symmetry_space_group_name_Hall '-P 4 2'
_cell_length_a 3.9407
_cell_length_b 3.9407
_cell_length_c 3.5060
_cell_angle_alpha 90.00
_cell_angle_beta 90.00
_cell_angle_gamma 90.00
loop_
_atom_site_label
_atom_site_type_symbol
_atom_site_fract_x
_atom_site_fract_y
_atom_site_fract_z
Li1 Li 0.0000 0.5000 0.0000
Co1 Co 0.0000 0.0000 0.5000
Cu1 Cu 0.5000 0.5000 0.5000
N1 N 0.0000 0.0000 0.0000
```

Properties
Formation energy from raw total energies (eV per atom): -0.132
Volume (Å³/atom): 10.889

***

VASP calculation (PBE-GGA) on a geometry-optimized LiCoCuNi structure.

Structure (CIF):
```
data_LiCoCuNi
_chemical_formula_sum 'Li4 Co4 Cu4 Ni4'
_symmetry_space_group_name_H-M 'F -4 3 m'
_symmetry_Int_Tables_number 216
_symmetry_space_group_name_Hall 'F -4 2 3'
_cell_length_a 5.6634
_cell_length_b 5.6634
_cell_length_c 5.6634
_cell_angle_alpha 90.00
_cell_angle_beta 90.00
_cell_angle_gamma 90.00
loop_
_atom_site_label
_atom_site_type_symbol
_atom_site_fract_x
_atom_site_fract_y
_atom_site_fract_z
Li1 Li 0.0000 0.0000 0.0000
Co1 Co 0.2500 0.2500 0.7500
Cu1 Cu 0.2500 0.2500 0.2500
Ni1 Ni 0.0000 0.0000 0.5000
```

Properties
ΔH_f (0 K) (eV per atom): 0.12
Volume (Å³/atom): 11.353